VASP calculation (PBE) on a relaxed structure of Tb2NdTm3Te6.

abc: 19.129 4.314 8.810
angles: 90.00 104.86 90.00
Space group C2/m (No. 12)
Unique sites:
Tb (0.164, 0.000, 0.327)
Nd (0.000, 0.500, 0.000)
Tm (0.000, 0.500, 0.500)
Tm (0.163, 0.000, 0.831)
Te (0.001, 0.000, 0.739)
Te (0.167, 0.500, 0.585)
Te (0.172, 0.500, 0.079)


VASP calculation (PBE) on a relaxed structure of Tb3NdTm2Te6.

abc: 18.988 4.330 8.814
angles: 90.00 102.01 90.00
Space group C2/m (No. 12)
Unique sites:
Tb (0.000, 0.000, 0.000)
Tb (0.158, 0.500, 0.336)
Nd (0.000, 0.000, 0.500)
Tm (0.164, 0.500, 0.832)
Te (0.004, 0.500, 0.759)
Te (0.170, 0.000, 0.083)
Te (0.173, 0.000, 0.594)


VASP calculation (PBE) on a relaxed structure of Tb2NdTmTe5.

abc: 5.483 5.483 11.757
angles: 90.00 90.00 90.00
Space group P4/mmm (No. 123)
Unique sites:
Tb (0.000, 0.000, 0.149)
Nd (0.500, 0.500, 0.500)
Tm (0.500, 0.500, 0.000)
Te (0.000, 0.000, 0.500)
Te (0.000, 0.500, 0.000)
Te (0.500, 0.500, 0.248)


VASP calculation (PBE) on a relaxed structure of Tb3Nd4TmTe8.

abc: 8.7615 8.7615 22.1577
angles: 90.00 90.00 120.00
Space group R-3m (No. 166, hexagonal axes)
Unique sites:
Tb (0.0000, 0.5000, 0.0000)
Nd (0.0000, 0.0000, 0.5000)
Nd (0.0000, 0.5000, 0.5000)
Tm (0.0000, 0.0000, 0.0000)
Te (0.0000, 0.0000, 0.2536)
Te (0.0032, 0.5016, 0.7456)


VASP calculation (PBE) on a relaxed structure of Tb3Nd2YTe6.

abc: 19.253 4.386 8.886
angles: 90.00 103.33 90.00
Space group C2/m (No. 12)
Unique sites:
Tb (0.000, 0.000, 0.000)
Tb (0.171, 0.500, 0.334)
Nd (0.169, 0.500, 0.836)
Y (0.000, 0.000, 0.500)
Te (0.003, 0.500, 0.252)
Te (0.163, 0.000, 0.089)
Te (0.164, 0.000, 0.575)


VASP calculation (PBE) on a relaxed structure of Tb2Nd3YTe6.

abc: 19.392 4.398 8.951
angles: 90.00 104.14 90.00
Space group C2/m (No. 12)
Unique sites:
Tb (0.167, 0.000, 0.334)
Nd (0.000, 0.500, 0.500)
Nd (0.167, 0.000, 0.833)
Y (0.000, 0.500, 0.000)
Te (0.002, 0.000, 0.244)
Te (0.164, 0.500, 0.089)
Te (0.169, 0.500, 0.577)


VASP calculation (PBE) on a relaxed structure of TbNd3Y3Te8.

abc: 8.8075 8.8075 21.7101
angles: 90.00 90.00 120.00
Space group R-3m (No. 166, hexagonal axes)
Unique sites:
Tb (0.0000, 0.0000, 0.0000)
Nd (0.0000, 0.5000, 0.5000)
Y (0.0000, 0.5000, 0.0000)
Te (0.0000, 0.0000, 0.2535)
Te (0.0088, 0.5044, 0.2513)


VASP calculation (PBE) on a relaxed structure of Tb2NdY3Te6.

abc: 19.130 4.370 8.827
angles: 90.00 103.16 90.00
Space group C2/m (No. 12)
Unique sites:
Tb (0.164, 0.000, 0.330)
Nd (0.000, 0.500, 0.000)
Y (0.000, 0.500, 0.500)
Y (0.163, 0.000, 0.833)
Te (0.001, 0.000, 0.258)
Te (0.168, 0.500, 0.584)
Te (0.171, 0.500, 0.085)


Number 1: raw formation energy -1262 meV/atom, Fermi-level density of states 6.139 states/eV/f.u., size of the total moment 0.0 μB/f.u.. Number 2: raw formation energy -1283 meV/atom, Fermi-level density of states 6.708 states/eV/f.u., size of the total moment 0.0 μB/f.u.. Number 3: raw formation energy -725 meV/atom, Fermi-level density of states 4.426 states/eV/f.u., size of the total moment 0.6 μB/f.u.. Number 4: raw formation energy -1350 meV/atom, Fermi-level density of states 11.314 states/eV/f.u., size of the total moment 0.0 μB/f.u.. Number 5: raw formation energy -1349 meV/atom, Fermi-level density of states 6.591 states/eV/f.u., size of the total moment 0.0 μB/f.u.. Number 6: raw formation energy -1370 meV/atom, Fermi-level density of states 6.225 states/eV/f.u., size of the total moment 0.0 μB/f.u.. Number 7: raw formation energy -1422 meV/atom, Fermi-level density of states 7.073 states/eV/f.u., size of the total moment 0.0 μB/f.u.. Number 8: raw formation energy -1330 meV/atom, Fermi-level density of states 6.679 states/eV/f.u., size of the total moment 0.0 μB/f.u..